Version a
The following is a PBE calculation of an optimized crystal structure of Ir3Pt2Rh4, from Alexandria via LeMat-Bulk.

```
9
Lattice="-0.8363 -1.7199 -4.9738 3.1525 -2.3029 3.6269 -5.7992 -1.3061 2.6010" Properties=species:S:1:pos:R:3 pbc="T T T"
Pt -3.5578 -2.5432 1.4776
Ir 1.5763 -1.1515 1.8135
Ir 0.0000 0.0000 0.0000
Ir -0.4181 -0.8600 -2.4869
Rh -2.3007 -1.1605 -0.4903
Rh -1.1762 -1.3249 1.9344
Pt 0.0748 -2.7858 -0.2235
Rh -2.3068 -4.0041 -0.6803
Rh -1.1823 -4.1685 1.7444
```

Output
symmetry: No. 69
crystal system: orthorhombic

=====

Version b
The following is a PBE calculation of an optimized crystal structure of Ir3Pt2Rh4, from Alexandria via LeMat-Bulk.

```
9
Lattice="-0.9586 0.4488 -2.5118 5.5923 -2.3223 -2.5493 -3.3502 -6.7452 1.5523" Properties=species:S:1:pos:R:3 pbc="T T T"
Ir 0.0000 0.0000 0.0000
Rh -0.2170 -4.4620 -0.7145
Rh 1.5004 -4.1566 -2.7943
Rh -1.6884 -6.6347 -0.5412
Rh 2.9718 -1.9839 -2.9676
Pt 2.8114 -6.5895 -2.2505
Ir 0.0171 -6.3537 -2.6208
Ir 1.2663 -2.2649 -0.8880
Pt -1.5280 -2.0291 -1.2583
```

Output
symmetry: No. 12
crystal system: monoclinic

=====

Stability check: which of them is least stable? version a.

=====

Version a
The following is a PBE calculation of an optimized crystal structure of Ir2PtRh, from Alexandria via LeMat-Bulk.

```
4
Lattice="-2.9731 -1.6519 1.9137 0.7009 -2.6139 2.8119 -0.6143 2.4633 5.1512" Properties=species:S:1:pos:R:3 pbc="T T T"
Ir -0.6526 1.4236 4.1943
Pt -1.5144 -2.8318 3.1615
Ir -0.7214 -0.4444 2.4750
Rh -1.4414 -0.8513 4.9844
```

Output
symmetry: No. 160
crystal system: trigonal

=====

Version b
The following is a PBE calculation of an optimized crystal structure of Ir2PtRh, from Alexandria via LeMat-Bulk.

```
4
Lattice="-2.5901 -0.2458 -0.6690 0.6381 -4.6269 -0.7707 -1.0837 -0.9036 4.5277" Properties=species:S:1:pos:R:3 pbc="T T T"
Pt -1.8369 -0.5747 1.9293
Rh -0.2228 -2.7652 1.8785
Ir 0.0000 0.0000 0.0000
Ir -0.9760 -2.4363 -0.7198
```

Output
symmetry: No. 47
crystal system: orthorhombic

=====

Version c
The following is a PBE calculation of an optimized crystal structure of Ir2PtRh, from Alexandria via LeMat-Bulk.

```
4
Lattice="4.7577 -0.0078 0.0000 -1.5980 4.4813 0.0000 0.0000 0.0000 2.7624" Properties=species:S:1:pos:R:3 pbc="T T T"
Ir 0.0000 0.0000 0.0000
Ir 1.5799 2.2368 0.0000
Pt 2.3789 -0.0039 1.3812
Rh -0.7990 2.2407 1.3812
```

Output
symmetry: No. 65
crystal system: orthorhombic

=====

Stability check: which of them is least stable? version a.

=====

Version a
The following is a PBE calculation of an optimized crystal structure of Ir2PtRh, from Alexandria via LeMat-Bulk.

```
4
Lattice="-3.4353 -0.6772 1.6928 0.4952 -3.8213 -0.5238 1.7544 -0.2472 3.4616" Properties=species:S:1:pos:R:3 pbc="T T T"
Ir 1.1248 -2.0342 1.4689
Ir 0.0000 0.0000 0.0000
Pt -1.4700 -2.2492 0.5845
Rh -0.8404 -0.4622 2.5772
```

Output
symmetry: No. 123
crystal system: tetragonal

=====

Version b
The following is a PBE calculation of an optimized crystal structure of Ir2PtRh, from Alexandria via LeMat-Bulk.

```
4
Lattice="2.7466 0.0000 0.0000 0.0000 2.7466 0.0000 0.0000 0.0000 7.8137" Properties=species:S:1:pos:R:3 pbc="T T T"
Pt 0.0000 0.0000 3.8978
Ir 1.3733 1.3733 1.8778
Rh 1.3733 1.3733 5.9291
Ir 0.0000 0.0000 0.0159
```

Output
symmetry: No. 99
crystal system: tetragonal

=====

Version c
The following is a PBE calculation of an optimized crystal structure of Ir2PtRh, from Alexandria via LeMat-Bulk.

```
4
Lattice="2.5832 -3.2230 1.5287 -1.1548 -2.2140 3.6280 -1.3024 -4.1965 -0.3022" Properties=species:S:1:pos:R:3 pbc="T T T"
Ir 0.0945 -7.2252 3.6410
Pt 0.0630 -4.8168 2.4273
Ir 0.0315 -2.4084 1.2137
Rh 0.0000 0.0000 0.0000
```

Output
symmetry: No. 225
crystal system: cubic

=====

Version d
The following is a PBE calculation of an optimized crystal structure of Ir2PtRh, from Alexandria via LeMat-Bulk.

```
4
Lattice="4.7657 -0.0020 -0.0046 3.9714 2.6344 -0.0046 0.7916 0.2385 4.6822" Properties=species:S:1:pos:R:3 pbc="T T T"
Ir 8.7236 2.6283 0.0074
Rh 2.3822 0.7177 1.1682
Ir 4.7779 1.4395 2.3198
Pt 7.1465 2.1532 3.5047
```

Output
symmetry: No. 12
crystal system: monoclinic

=====

Stability check: which of them is least stable? version c.

=====

Version a
The following is a PBE calculation of an optimized crystal structure of Ir2PtRh, from Alexandria via LeMat-Bulk.

```
4
Lattice="-2.5910 8.3370 2.5729 -5.0680 7.1359 2.4966 -3.5046 6.9252 4.7538" Properties=species:S:1:pos:R:3 pbc="T T T"
Rh -8.3727 16.7985 7.3675
Pt -2.7909 5.5995 2.4558
Ir -0.0235 0.0472 0.0207
Ir -5.5583 11.1518 4.8910
```

Output
symmetry: No. 166
crystal system: trigonal

=====

Version b
The following is a PBE calculation of an optimized crystal structure of Ir2PtRh, from Alexandria via LeMat-Bulk.

```
4
Lattice="-3.4868 7.4284 3.9426 -5.1151 7.3312 1.7238 -5.7435 5.8500 3.9589" Properties=species:S:1:pos:R:3 pbc="T T T"
Rh -10.7242 15.4072 7.1957
Pt -7.1727 10.3048 4.8127
Ir -14.3435 20.6068 9.6241
Ir -3.6251 5.2080 2.4323
```

Output
symmetry: No. 160
crystal system: trigonal

=====

Stability check: which of them is least stable? version a.

=====

Version a
The following is a PBE calculation of an optimized crystal structure of Ir2PtRh, from Alexandria via LeMat-Bulk.

```
4
Lattice="1.3481 -2.3708 0.0000 1.3481 2.3708 0.0000 0.0000 0.0000 9.4443" Properties=species:S:1:pos:R:3 pbc="T T T"
Ir 0.0000 0.0000 0.0005
Pt 0.0000 0.0000 4.7151
Ir 1.3481 0.0000 7.1359
Rh 1.3481 0.0000 2.3150
```

Output
symmetry: No. 35
crystal system: orthorhombic

=====

Version b
The following is a PBE calculation of an optimized crystal structure of Ir2PtRh, from Alexandria via LeMat-Bulk.

```
4
Lattice="4.7692 0.0048 0.0000 1.6007 4.4926 0.0000 -3.1850 -2.2487 2.7468" Properties=species:S:1:pos:R:3 pbc="T T T"
Rh 2.3846 0.0024 1.3734
Ir 3.1850 2.2487 0.0000
Ir 0.0000 0.0000 0.0000
Pt 0.8003 2.2463 1.3734
```

Output
symmetry: No. 139
crystal system: tetragonal

=====

Version c
The following is a PBE calculation of an optimized crystal structure of Ir2PtRh, from Alexandria via LeMat-Bulk.

```
4
Lattice="4.7377 0.0000 0.0000 0.0000 4.7377 0.0000 0.0000 0.0000 2.6876" Properties=species:S:1:pos:R:3 pbc="T T T"
Ir 0.0000 2.3689 0.0000
Ir 2.3689 0.0000 0.0000
Pt 2.3689 2.3689 1.3438
Rh 0.0000 0.0000 1.3438
```

Output
symmetry: No. 123
crystal system: tetragonal

=====

Version d
The following is a PBE calculation of an optimized crystal structure of Ir2PtRh, from Alexandria via LeMat-Bulk.

```
4
Lattice="4.7653 0.0036 0.0000 1.5974 4.4896 0.0000 -3.1813 -2.2466 2.7459" Properties=species:S:1:pos:R:3 pbc="T T T"
Pt 3.1813 2.2466 0.0000
Ir 0.7987 2.2448 1.3730
Ir 0.0000 0.0000 0.0000
Rh 2.3827 0.0018 1.3730
```

Output
symmetry: No. 119
crystal system: tetragonal

=====

Stability check: which of them is least stable? version c.

=====

Version a
The following is a PBE calculation of an optimized crystal structure of Ir2PtRh, from Alexandria via LeMat-Bulk.

```
4
Lattice="-1.3474 2.3529 4.7821 1.3474 -2.3529 4.7821 1.3474 2.3529 -4.7821" Properties=species:S:1:pos:R:3 pbc="T T T"
Ir 0.0000 0.0000 9.5122
Pt 0.0000 0.0000 4.8333
Rh 1.3474 0.0000 2.2851
Ir 0.0000 2.3529 2.4981
```

Output
symmetry: No. 44
crystal system: orthorhombic

=====

Version b
The following is a PBE calculation of an optimized crystal structure of Ir2PtRh, from Alexandria via LeMat-Bulk.

```
8
Lattice="0.0529 3.8756 0.2059 -4.1956 1.9416 1.1175 0.8044 1.5562 7.0864" Properties=species:S:1:pos:R:3 pbc="T T T"
Rh -3.2459 3.5666 6.8711
Pt -3.0409 3.7121 4.0790
Rh -0.0927 3.8068 1.5384
Ir -1.7214 5.5504 5.7235
Pt -0.2977 3.6613 4.3304
Ir -0.5490 3.5187 7.0796
Ir -2.7896 3.8547 1.3299
Ir -1.6171 1.8230 2.6860
```

Output
symmetry: No. 12
crystal system: monoclinic

=====

Stability check: which of them is least stable? version a.